# Rb2CdCu2F6

A geometry-optimized Rb2CdCu2F6 structure (PBE-GGA, the Alexandria database).

a b c (Å): 6.862 6.862 6.862
angles (deg): 55.66 55.66 55.66
Atoms (fractional coordinates):
Rb 0.220 0.220 0.220
Rb 0.780 0.780 0.780
Cd 0.000 0.000 0.000
Cu 0.427 0.427 0.427
Cu 0.573 0.573 0.573
F 0.228 0.760 0.760
F 0.240 0.240 0.772
F 0.240 0.772 0.240
F 0.760 0.228 0.760
F 0.760 0.760 0.228
F 0.772 0.240 0.240

V ... 205 Å³ per cell
Formation energy from raw total energies ... -1927 meV per atom

---

# RbCdCuF6

A geometry-optimized RbCdCuF6 structure (PBE-GGA, the Alexandria database).

a b c (Å): 7.375 7.375 7.375
angles (deg): 118.31 118.30 92.96
Atoms (fractional coordinates):
Rb 0.399 0.149 0.250
Rb 0.601 0.851 0.750
Cd 0.000 0.000 0.500
Cd 0.000 0.500 0.000
Cu 0.000 0.500 0.500
Cu 0.500 0.500 0.000
F 0.109 0.859 0.250
F 0.143 0.455 0.332
F 0.143 0.811 0.688
F 0.225 0.475 0.750
F 0.377 0.189 0.832
F 0.377 0.545 0.188
F 0.623 0.455 0.812
F 0.623 0.811 0.168
F 0.775 0.525 0.250
F 0.857 0.189 0.312
F 0.857 0.545 0.668
F 0.891 0.141 0.750

V ... 290 Å³ per cell
Formation energy from raw total energies ... -2012 meV per atom

---

# Rb4Cd3CuF12

A geometry-optimized Rb4Cd3CuF12 structure (PBE-GGA, the Alexandria database).

a b c (Å): 7.644 7.644 7.644
angles (deg): 109.47 109.47 109.47
Atoms (fractional coordinates):
Rb 0.000 0.000 0.500
Rb 0.000 0.500 0.000
Rb 0.500 0.000 0.000
Rb 0.500 0.500 0.500
Cd 0.000 0.500 0.500
Cd 0.500 0.000 0.500
Cd 0.500 0.500 0.000
Cu 0.000 0.000 0.000
F 0.000 0.237 0.237
F 0.000 0.763 0.763
F 0.237 0.000 0.237
F 0.237 0.237 0.000
F 0.250 0.500 0.750
F 0.250 0.750 0.500
F 0.500 0.250 0.750
F 0.500 0.750 0.250
F 0.750 0.250 0.500
F 0.750 0.500 0.250
F 0.763 0.000 0.763
F 0.763 0.763 0.000

V ... 344 Å³ per cell
Formation energy from raw total energies ... -2341 meV per atom

---

# RbCdCu2F8

A geometry-optimized RbCdCu2F8 structure (PBE-GGA, the Alexandria database).

a b c (Å): 7.935 7.935 7.935
angles (deg): 41.76 41.76 41.76
Atoms (fractional coordinates):
Rb 0.000 0.000 0.000
Cd 0.500 0.500 0.500
Cu 0.239 0.239 0.239
Cu 0.761 0.761 0.761
F 0.108 0.447 0.777
F 0.223 0.892 0.553
F 0.323 0.323 0.323
F 0.447 0.777 0.108
F 0.553 0.223 0.892
F 0.677 0.677 0.677
F 0.777 0.108 0.447
F 0.892 0.553 0.223

V ... 200 Å³ per cell
Formation energy from raw total energies ... -1740 meV per atom

---

# Rb3CdCu2F9

A geometry-optimized Rb3CdCu2F9 structure (PBE-GGA, the Alexandria database).

a b c (Å): 6.011 6.011 7.379
angles (deg): 90.00 90.00 120.00
Atoms (fractional coordinates):
Rb 0.000 0.000 0.000
Rb 0.333 0.667 0.669
Rb 0.667 0.333 0.331
Cd 0.000 0.000 0.500
Cu 0.333 0.667 0.155
Cu 0.667 0.333 0.845
F 0.000 0.500 0.000
F 0.174 0.349 0.320
F 0.174 0.826 0.320
F 0.349 0.174 0.680
F 0.500 0.000 0.000
F 0.500 0.500 0.000
F 0.651 0.826 0.320
F 0.826 0.174 0.680
F 0.826 0.651 0.680

V ... 231 Å³ per cell
Formation energy from raw total energies ... -2193 meV per atom

---

# CdCuRhF6

A geometry-optimized CdCuRhF6 structure (PBE-GGA, the Alexandria database).

a b c (Å): 4.966 4.966 10.103
angles (deg): 90.00 90.00 90.00
Atoms (fractional coordinates):
Cd 0.000 0.000 0.000
Cd 0.500 0.500 0.500
Cu 0.000 0.000 0.328
Cu 0.500 0.500 0.828
Rh 0.000 0.000 0.667
Rh 0.500 0.500 0.167
F 0.181 0.181 0.506
F 0.196 0.196 0.818
F 0.207 0.207 0.174
F 0.293 0.707 0.674
F 0.304 0.696 0.318
F 0.319 0.681 0.006
F 0.681 0.319 0.006
F 0.696 0.304 0.318
F 0.707 0.293 0.674
F 0.793 0.793 0.174
F 0.804 0.804 0.818
F 0.819 0.819 0.506

V ... 249 Å³ per cell
Formation energy from raw total energies ... -1640 meV per atom

---

# CdCu2RhF8

A geometry-optimized CdCu2RhF8 structure (PBE-GGA, the Alexandria database).

a b c (Å): 6.553 6.553 6.553
angles (deg): 131.44 131.44 71.11
Atoms (fractional coordinates):
Cd 0.000 0.000 0.000
Cu 0.500 0.500 0.000
Cu 0.750 0.250 0.500
Rh 0.250 0.750 0.500
F 0.265 0.715 0.136
F 0.285 0.421 0.550
F 0.395 0.001 0.042
F 0.579 0.129 0.864
F 0.647 0.605 0.606
F 0.871 0.735 0.450
F 0.959 0.353 0.958
F 0.999 0.041 0.394

V ... 155 Å³ per cell
Formation energy from raw total energies ... -1483 meV per atom

---

# Cd2CuRhF

A geometry-optimized Cd2CuRhF structure (PBE-GGA, the Alexandria database).

a b c (Å): 5.222 5.222 3.995
angles (deg): 90.00 90.00 90.00
Atoms (fractional coordinates):
Cd 0.000 0.500 0.000
Cd 0.500 0.000 0.000
Cu 0.000 0.000 0.500
Rh 0.500 0.500 0.000
F 0.500 0.500 0.500

V ... 109 Å³ per cell
Formation energy from raw total energies ... 92 meV per atom

---

Number 6 is which compound? CdCuRhF6

---

Among the records above, which one has the highest formation energy from raw total energies? Cd2CuRhF

---

V of number 2 (RbCdCuF6)? 290 Å³ per cell